{"formula": "Li2PrHo2Ge2", "functional": "PBE", "state": "relaxed", "lattice_angstrom": [[-1.437, 2.119, 3.728], [2.186, -0.581, 3.916], [5.556, 7.500, 0.622]], "species": ["Ho", "Pr", "Ho", "Ge", "Li", "Li", "Ge"], "fractional_positions": [[0.871, 0.871, 0.386], [0.000, 0.000, 0.000], [0.129, 0.129, 0.614], [0.742, 0.742, 0.774], [0.593, 0.593, 0.222], [0.407, 0.407, 0.778], [0.258, 0.258, 0.226]], "space_group": "R-3m (166)"}

{"formula": "TbPr2Th", "functional": "PBE", "state": "relaxed", "lattice_angstrom": [[6.180, 0.700, 1.025], [3.543, 5.111, 1.025], [1.235, 0.738, 4.933]], "species": ["Tb", "Th", "Pr", "Pr"], "fractional_positions": [[0.750, 0.750, 0.750], [0.500, 0.500, 0.500], [0.000, 0.000, 0.000], [0.250, 0.250, 0.250]], "space_group": "I-4m2 (119)", "e_above_lowest_polymorph_ev_per_atom": 0.0276}

Values for energy relative to the elements, kJ/mol of formula units, ordered as above
-329, 25